Entry 1:
{
  "formula": "BrCl2",
  "functional": "PBE-GGA",
  "state": "relaxed",
  "n_ef_per_ev_atom": 1.5762,
  "e_tot_ev_per_atom": -1.0342,
  "m_tot_mub_per_atom": 0.7650,
  "cell": [[6.277, 0.027, 0.000], [4.161, 4.700, 0.000], [-5.219, -2.363, 2.565]],
  "species": ["Br", "Cl", "Cl"],
  "fractional_positions": [[0.000, 0.000, 0.000], [0.648, 0.648, 0.000], [0.352, 0.352, 0.000]]
}

Entry 2:
{
  "formula": "BrCl",
  "functional": "PBE-GGA",
  "state": "relaxed",
  "n_ef_per_ev_atom": 1.8200,
  "e_tot_ev_per_atom": -1.5735,
  "m_tot_mub_per_atom": 0.0003,
  "cell": [[5.115, -0.043, -0.038], [0.621, 5.077, -0.038], [0.621, 0.545, 5.048]],
  "species": ["Br", "Cl", "Cl", "Br"],
  "fractional_positions": [[0.870, 0.870, 0.870], [0.379, 0.379, 0.379], [0.621, 0.621, 0.621], [0.130, 0.130, 0.130]]
}

Entry 3:
{
  "formula": "BrCl2",
  "functional": "PBE-GGA",
  "state": "relaxed",
  "n_ef_per_ev_atom": 1.0318,
  "e_tot_ev_per_atom": -1.2930,
  "m_tot_mub_per_atom": 0.0000,
  "cell": [[6.885, 0.000, 0.000], [0.000, 6.885, 0.000], [0.000, 0.000, 6.885]],
  "species": ["Cl", "Cl", "Br", "Cl", "Br", "Br", "Cl", "Cl", "Br", "Cl", "Cl", "Cl"],
  "fractional_positions": [[0.338, 0.162, 0.162], [0.162, 0.838, 0.662], [0.000, 0.000, 0.000], [0.838, 0.338, 0.838], [0.500, 0.500, 0.000], [0.000, 0.500, 0.500], [0.662, 0.838, 0.838], [0.838, 0.162, 0.338], [0.500, 0.000, 0.500], [0.662, 0.662, 0.338], [0.162, 0.662, 0.162], [0.338, 0.338, 0.662]]
}

Entry 4:
{
  "formula": "BrCl",
  "functional": "PBE-GGA",
  "state": "relaxed",
  "e_tot_ev_per_atom": -1.6957,
  "m_tot_mub_per_atom": 0.0000,
  "cell": [[2.165, 4.706, 0.022], [-2.165, 4.706, 0.022], [0.000, 2.098, 12.115]],
  "species": ["Br", "Br", "Cl", "Cl", "Br", "Cl"],
  "fractional_positions": [[0.021, 0.021, 0.976], [0.692, 0.692, 0.642], [0.254, 0.254, 0.969], [0.925, 0.925, 0.636], [0.586, 0.586, 0.302], [0.354, 0.354, 0.307]]
}

Entry 5:
{
  "formula": "BrCl",
  "functional": "PBE-GGA",
  "state": "relaxed",
  "n_ef_per_ev_atom": 0.4996,
  "e_tot_ev_per_atom": -1.2122,
  "m_tot_mub_per_atom": 0.0000,
  "cell": [[-0.246, -3.560, -0.082], [3.869, -0.277, 0.438], [-0.963, -0.128, 8.421]],
  "species": ["Br", "Cl", "Br", "Cl"],
  "fractional_positions": [[0.000, 0.000, 0.060], [0.500, 0.000, 0.449], [0.000, 0.500, 0.273], [0.500, 0.500, 0.884]]
}

Entry 6:
{
  "formula": "BrCl5",
  "functional": "PBE-GGA",
  "state": "relaxed",
  "e_tot_ev_per_atom": -1.7804,
  "m_tot_mub_per_atom": 0.0000,
  "cell": [[-1.239, -2.588, 4.304], [0.632, -4.999, 1.172], [10.206, 0.638, 5.605]],
  "species": ["Br", "Cl", "Cl", "Cl", "Cl", "Cl"],
  "fractional_positions": [[0.021, 0.021, 0.976], [0.367, 0.367, 0.317], [0.583, 0.583, 0.300], [0.697, 0.697, 0.645], [0.913, 0.913, 0.627], [0.254, 0.254, 0.969]]
}

Entry 7:
{
  "formula": "BrCl5",
  "functional": "PBE-GGA",
  "state": "relaxed",
  "n_ef_per_ev_atom": 0.1272,
  "e_tot_ev_per_atom": -1.7449,
  "m_tot_mub_per_atom": 0.0000,
  "cell": [[-1.509, 6.635, 9.811], [-2.327, -8.364, -8.197], [2.341, -2.977, 2.373]],
  "species": ["Cl", "Cl", "Cl", "Cl", "Br", "Cl"],
  "fractional_positions": [[0.736, 0.264, 0.500], [0.400, 0.600, 0.500], [0.071, 0.929, 0.500], [0.710, 0.290, 0.000], [0.041, 0.959, 0.000], [0.375, 0.625, 0.000]]
}

Entry 8:
{
  "formula": "BrCl",
  "functional": "PBE-GGA",
  "state": "relaxed",
  "n_ef_per_ev_atom": 1.3231,
  "e_tot_ev_per_atom": -1.2299,
  "m_tot_mub_per_atom": 0.0000,
  "cell": [[-3.322, -5.825, 2.422], [-0.806, -4.363, 5.581], [-4.606, -2.508, 4.830]],
  "species": ["Br", "Br", "Cl", "Cl"],
  "fractional_positions": [[0.747, 0.747, 0.747], [0.003, 0.003, 0.003], [0.257, 0.257, 0.257], [0.493, 0.493, 0.493]]
}

Entry 9:
{
  "formula": "BrCl",
  "functional": "PBE-GGA",
  "state": "relaxed",
  "n_ef_per_ev_atom": 0.1832,
  "e_tot_ev_per_atom": -1.4877,
  "m_tot_mub_per_atom": 0.0000,
  "cell": [[-2.783, -4.675, 0.754], [4.734, -2.768, 0.312], [0.096, 0.678, 4.558]],
  "species": ["Cl", "Br", "Cl", "Br"],
  "fractional_positions": [[0.750, 0.750, 0.000], [0.750, 0.250, 0.000], [0.250, 0.250, 0.000], [0.250, 0.750, 0.000]]
}

Entry 10:
{
  "formula": "BrCl",
  "functional": "PBE-GGA",
  "state": "relaxed",
  "e_tot_ev_per_atom": -1.7672,
  "m_tot_mub_per_atom": 0.0000,
  "cell": [[11.538, 0.000, 0.000], [0.000, 5.754, 0.000], [0.000, 0.000, 8.039]],
  "species": ["Br", "Cl", "Br", "Br", "Br", "Cl", "Cl", "Br", "Br", "Cl", "Cl", "Cl"],
  "fractional_positions": [[0.000, 0.424, 0.000], [0.293, 0.528, 0.500], [0.841, 0.845, 0.500], [0.341, 0.155, 0.000], [0.159, 0.845, 0.500], [0.207, 0.472, 0.000], [0.500, 0.878, 0.000], [0.659, 0.155, 0.000], [0.500, 0.576, 0.500], [0.793, 0.472, 0.000], [0.707, 0.528, 0.500], [0.000, 0.122, 0.500]]
}

Entry 11:
{
  "formula": "BrCl",
  "functional": "PBE-GGA",
  "state": "relaxed",
  "n_ef_per_ev_atom": 0.7929,
  "e_tot_ev_per_atom": -1.5755,
  "m_tot_mub_per_atom": 0.0000,
  "cell": [[7.553, 0.000, 0.000], [0.000, 2.465, -0.082], [0.000, 0.252, 7.632]],
  "species": ["Cl", "Cl", "Br", "Br"],
  "fractional_positions": [[0.000, 0.874, 0.623], [0.500, 0.876, 0.127], [0.500, 0.872, 0.624], [0.000, 0.878, 0.126]]
}

Entry 12:
{
  "formula": "BrCl",
  "functional": "PBE-GGA",
  "state": "relaxed",
  "n_ef_per_ev_atom": 0.7491,
  "e_tot_ev_per_atom": -1.0705,
  "m_tot_mub_per_atom": 1.0233,
  "cell": [[6.916, 0.000, 0.000], [0.000, 6.916, 0.000], [0.000, 0.000, 6.916]],
  "species": ["Cl", "Cl", "Br", "Cl", "Br", "Cl", "Br", "Br"],
  "fractional_positions": [[0.250, 0.250, 0.250], [0.250, 0.750, 0.750], [0.500, 0.000, 0.500], [0.750, 0.750, 0.250], [0.000, 0.500, 0.500], [0.750, 0.250, 0.750], [0.000, 0.000, 0.000], [0.500, 0.500, 0.000]]
}

Entry 13:
{
  "formula": "BrCl2",
  "functional": "PBE-GGA",
  "state": "relaxed",
  "n_ef_per_ev_atom": 1.7406,
  "e_tot_ev_per_atom": -0.9269,
  "m_tot_mub_per_atom": 0.3699,
  "cell": [[3.109, 0.415, 4.992], [0.419, 5.177, 2.791], [-2.771, 0.811, 5.140]],
  "species": ["Cl", "Cl", "Br", "Cl", "Cl", "Br"],
  "fractional_positions": [[0.625, 0.125, 0.125], [0.125, 0.125, 0.625], [0.750, 0.750, 0.750], [0.125, 0.125, 0.125], [0.125, 0.625, 0.125], [0.500, 0.500, 0.500]]
}

Entry 14:
{
  "formula": "BrCl2",
  "functional": "PBE-GGA",
  "state": "relaxed",
  "n_ef_per_ev_atom": 1.5298,
  "e_tot_ev_per_atom": -1.6810,
  "m_tot_mub_per_atom": 0.0969,
  "cell": [[5.956, -0.169, 0.134], [-0.141, 5.957, -0.134], [-0.808, -5.004, 3.136]],
  "species": ["Br", "Cl", "Cl"],
  "fractional_positions": [[0.000, 0.000, 0.000], [0.283, 0.283, 0.000], [0.717, 0.717, 0.000]]
}

Entry 15:
{
  "formula": "BrCl2",
  "functional": "PBE-GGA",
  "state": "relaxed",
  "n_ef_per_ev_atom": 0.9391,
  "e_tot_ev_per_atom": -1.5860,
  "m_tot_mub_per_atom": 0.0000,
  "cell": [[-1.659, -5.776, 3.001], [1.297, 0.109, -6.590], [2.338, -0.436, 0.453]],
  "species": ["Cl", "Cl", "Br"],
  "fractional_positions": [[0.333, 0.667, 0.995], [0.667, 0.333, 0.005], [0.000, 0.000, 0.000]]
}

Entry 16:
{
  "formula": "BrCl",
  "functional": "PBE-GGA",
  "state": "relaxed",
  "n_ef_per_ev_atom": 1.2129,
  "e_tot_ev_per_atom": -1.1326,
  "m_tot_mub_per_atom": 0.0000,
  "cell": [[-6.480, -4.528, 1.499], [4.707, -6.480, 0.774], [0.772, 1.500, 7.868]],
  "species": ["Cl", "Br", "Cl", "Br", "Br", "Br", "Br", "Cl", "Cl", "Br", "Cl", "Cl"],
  "fractional_positions": [[0.500, 0.250, 0.000], [0.750, 0.500, 0.000], [0.000, 0.500, 0.750], [0.000, 0.750, 0.500], [0.500, 0.000, 0.750], [0.000, 0.250, 0.500], [0.250, 0.500, 0.000], [0.500, 0.750, 0.000], [0.750, 0.000, 0.500], [0.500, 0.000, 0.250], [0.250, 0.000, 0.500], [0.000, 0.500, 0.250]]
}

Entry 17:
{
  "formula": "BrCl2",
  "functional": "PBE-GGA",
  "state": "relaxed",
  "n_ef_per_ev_atom": 0.2658,
  "e_tot_ev_per_atom": -1.4332,
  "m_tot_mub_per_atom": 0.0000,
  "cell": [[11.482, 1.760, 2.287], [9.477, 5.990, 6.378], [-11.026, -6.248, -2.402]],
  "species": ["Cl", "Cl", "Br", "Cl", "Br", "Cl"],
  "fractional_positions": [[0.998, 0.237, 0.761], [0.290, 0.963, 0.327], [0.887, 0.396, 0.491], [0.710, 0.037, 0.673], [0.113, 0.604, 0.509], [0.002, 0.763, 0.239]]
}

Entry 18:
{
  "formula": "BrCl",
  "functional": "PBE-GGA",
  "state": "relaxed",
  "n_ef_per_ev_atom": 1.7945,
  "e_tot_ev_per_atom": -1.0086,
  "m_tot_mub_per_atom": 0.0113,
  "cell": [[3.339, 0.000, 0.000], [0.000, 3.339, 0.000], [0.000, 0.000, 4.208]],
  "species": ["Br", "Cl"],
  "fractional_positions": [[0.000, 0.000, 0.000], [0.500, 0.500, 0.500]]
}

Entry 19:
{
  "formula": "BrCl2",
  "functional": "PBE-GGA",
  "state": "relaxed",
  "n_ef_per_ev_atom": 0.5997,
  "e_tot_ev_per_atom": -1.5117,
  "m_tot_mub_per_atom": 0.0000,
  "cell": [[0.000, 4.360, 5.544], [2.017, 0.000, 5.544], [2.017, 4.360, 0.000]],
  "species": ["Br", "Cl", "Cl"],
  "fractional_positions": [[0.500, 0.500, 0.500], [0.848, 0.848, 0.152], [0.152, 0.152, 0.848]]
}

Entry 20:
{
  "formula": "BrCl",
  "functional": "PBE-GGA",
  "state": "relaxed",
  "n_ef_per_ev_atom": 0.6536,
  "e_tot_ev_per_atom": -1.4262,
  "m_tot_mub_per_atom": 0.0000,
  "cell": [[-0.565, -1.648, -2.156], [-1.571, -1.596, 1.632], [-13.149, 9.241, -3.622]],
  "species": ["Br", "Cl", "Br", "Cl"],
  "fractional_positions": [[0.250, 0.250, 0.635], [0.750, 0.750, 0.876], [0.750, 0.750, 0.365], [0.250, 0.250, 0.124]]
}

Calculated energy above the most stable polymorph in this dataset (kJ per mole of atoms), listed in the same order as above: 67.9; 20.6; 42.9; 8.8; 55.5; 0.5; 3.9; 53.8; 28.9; 1.9; 20.4; 69.2; 78.3; 5.5; 14.7; 63.2; 29.4; 75.1; 21.8; 34.8
Calculated energy relative to the elements, uncorrected (meV/atom), listed in the same order as above: 755; 186; 496; 64; 548; 37; 73; 530; 272; -7; 184; 689; 862; 108; 203; 627; 356; 751; 277; 334